Record 1
This record from Alexandria via LeMat-Bulk describes a relaxed structure of Li2BeIr. The functional is PBE.

```
data_Li2BeIr
_chemical_formula_sum 'Li2 Be1 Ir1'
_cell_length_a 2.6757
_cell_length_b 2.6757
_cell_length_c 8.6152
_cell_angle_alpha 90.00
_cell_angle_beta 90.00
_cell_angle_gamma 114.06
_space_group_name_H-M_alt 'P 1'
_space_group_IT_number 1
_space_group_name_Hall 'P 1'
loop_
_atom_site_label
_atom_site_type_symbol
_atom_site_fract_x
_atom_site_fract_y
_atom_site_fract_z
_atom_site_occupancy
Ir1 Ir 0.5000 0.5000 0.7242 1
Be1 Be 0.0000 0.0000 0.5265 1
Li1 Li 0.0000 0.0000 0.9715 1
Li2 Li 0.5000 0.5000 0.2778 1
```

Properties
Calculated formation energy: -0.03 eV/atom
Space-group type: Cmm2
Total magnetization: 0.000 μB/atom

***

Record 2
This record from Alexandria via LeMat-Bulk describes a relaxed structure of NiMo2W. The functional is PBE.

```
data_NiMo2W
_chemical_formula_sum 'Ni1 Mo2 W1'
_cell_length_a 2.6266
_cell_length_b 4.0825
_cell_length_c 5.5875
_cell_angle_alpha 90.00
_cell_angle_beta 90.00
_cell_angle_gamma 90.00
_space_group_name_H-M_alt 'P 1'
_space_group_IT_number 1
_space_group_name_Hall 'P 1'
loop_
_atom_site_label
_atom_site_type_symbol
_atom_site_fract_x
_atom_site_fract_y
_atom_site_fract_z
_atom_site_occupancy
Ni1 Ni 0.0000 0.0000 0.5025 1
Mo1 Mo 0.5000 0.5000 0.2609 1
Mo2 Mo 0.0000 0.0000 0.0003 1
W1 W 0.5000 0.5000 0.7362 1
```

Properties
Calculated formation energy: 0.23 eV/atom
Space-group type: Pmm2
Total magnetization: 0.000 μB/atom

***

Record 3
This record from Alexandria via LeMat-Bulk describes a relaxed structure of La2CoSiN. The functional is PBE.

```
data_La2CoSiN
_chemical_formula_sum 'La2 Co1 Si1 N1'
_cell_length_a 5.3235
_cell_length_b 5.3235
_cell_length_c 3.5658
_cell_angle_alpha 90.00
_cell_angle_beta 90.00
_cell_angle_gamma 90.00
_space_group_name_H-M_alt 'P 1'
_space_group_IT_number 1
_space_group_name_Hall 'P 1'
loop_
_atom_site_label
_atom_site_type_symbol
_atom_site_fract_x
_atom_site_fract_y
_atom_site_fract_z
_atom_site_occupancy
Si1 Si 0.5000 0.5000 0.5000 1
La1 La 0.5000 0.0000 0.0000 1
La2 La 0.0000 0.5000 0.0000 1
N1 N 0.0000 0.0000 0.0000 1
Co1 Co 0.0000 0.0000 0.5000 1
```

Properties
Raw formation energy: -682 meV/atom
Space-group type: P4/mmm
Total magnetization: 0.000 μB/atom

***

Record 4
This record from Alexandria via LeMat-Bulk describes a relaxed structure of InSiH2. The functional is PBE.

```
data_InSiH2
_chemical_formula_sum 'In2 Si2 H4'
_cell_length_a 5.3062
_cell_length_b 5.3062
_cell_length_c 5.4424
_cell_angle_alpha 60.82
_cell_angle_beta 60.82
_cell_angle_gamma 90.00
_space_group_name_H-M_alt 'P 1'
_space_group_IT_number 1
_space_group_name_Hall 'P 1'
loop_
_atom_site_label
_atom_site_type_symbol
_atom_site_fract_x
_atom_site_fract_y
_atom_site_fract_z
_atom_site_occupancy
H1 H 0.4475 0.1250 0.2500 1
H2 H 0.8750 0.6975 0.7500 1
H3 H 0.3025 0.6250 0.2500 1
H4 H 0.3750 0.5525 0.7500 1
In1 In 0.0000 0.0000 0.0000 1
In2 In 0.7500 0.2500 0.5000 1
Si1 Si 0.5000 0.5000 0.0000 1
Si2 Si 0.2500 0.7500 0.5000 1
```

Properties
Space-group type: I-42d
Total magnetization: 0.000 μB/atom
VASP energy: -3.233 eV/atom

***

Record 5
This record from Alexandria via LeMat-Bulk describes a relaxed structure of Al2CdSe. The functional is PBE.

```
data_Al2CdSe
_chemical_formula_sum 'Al2 Cd1 Se1'
_cell_length_a 6.0398
_cell_length_b 6.0398
_cell_length_c 6.0398
_cell_angle_alpha 141.45
_cell_angle_beta 141.45
_cell_angle_gamma 55.66
_space_group_name_H-M_alt 'P 1'
_space_group_IT_number 1
_space_group_name_Hall 'P 1'
loop_
_atom_site_label
_atom_site_type_symbol
_atom_site_fract_x
_atom_site_fract_y
_atom_site_fract_z
_atom_site_occupancy
Al1 Al 0.0000 0.0000 0.0000 1
Al2 Al 0.2500 0.7500 0.5000 1
Se1 Se 0.7500 0.2500 0.5000 1
Cd1 Cd 0.5000 0.5000 0.0000 1
```

Properties
Raw formation energy: 112 meV/atom
Space-group type: I-4m2
Total magnetization: 0.000 μB/atom

***

Record 6
This record from Alexandria via LeMat-Bulk describes a relaxed structure of FeSn3Ge. The functional is PBE.

```
data_FeSn3Ge
_chemical_formula_sum 'Fe1 Sn3 Ge1'
_cell_length_a 5.2122
_cell_length_b 5.2122
_cell_length_c 5.2122
_cell_angle_alpha 90.00
_cell_angle_beta 90.00
_cell_angle_gamma 90.00
_space_group_name_H-M_alt 'P 1'
_space_group_IT_number 1
_space_group_name_Hall 'P 1'
loop_
_atom_site_label
_atom_site_type_symbol
_atom_site_fract_x
_atom_site_fract_y
_atom_site_fract_z
_atom_site_occupancy
Ge1 Ge 0.0000 0.0000 0.0000 1
Sn1 Sn 0.0000 0.5000 0.0000 1
Sn2 Sn 0.5000 0.0000 0.0000 1
Sn3 Sn 0.0000 0.0000 0.5000 1
Fe1 Fe 0.5000 0.5000 0.5000 1
```

Properties
Calculated formation energy: 1.05 eV/atom
Space-group type: Pm-3m
Total magnetization: 0.646 μB/atom

***

Record 7
This record from Alexandria via LeMat-Bulk describes a relaxed structure of Tb4Er9Cd11. The functional is PBE.

```
data_Tb4Er9Cd11
_chemical_formula_sum 'Tb4 Er9 Cd11'
_cell_length_a 3.4995
_cell_length_b 13.8131
_cell_length_c 13.8131
_cell_angle_alpha 109.30
_cell_angle_beta 90.00
_cell_angle_gamma 90.00
_space_group_name_H-M_alt 'P 1'
_space_group_IT_number 1
_space_group_name_Hall 'P 1'
loop_
_atom_site_label
_atom_site_type_symbol
_atom_site_fract_x
_atom_site_fract_y
_atom_site_fract_z
_atom_site_occupancy
Cd1 Cd 0.0000 0.0492 0.4116 1
Cd2 Cd 0.0000 0.9508 0.5884 1
Cd3 Cd 0.0000 0.3697 0.6303 1
Cd4 Cd 0.0000 0.4116 0.0492 1
Cd5 Cd 0.0000 0.7894 0.7894 1
Cd6 Cd 0.0000 0.8189 0.1811 1
Cd7 Cd 0.0000 0.5884 0.9508 1
Cd8 Cd 0.0000 0.2106 0.2106 1
Cd9 Cd 0.0000 0.0000 0.0000 1
Cd10 Cd 0.0000 0.1811 0.8189 1
Cd11 Cd 0.0000 0.6303 0.3697 1
Er1 Er 0.5000 0.8454 0.3822 1
Er2 Er 0.5000 0.1546 0.6178 1
Er3 Er 0.5000 0.2057 0.0178 1
Er4 Er 0.5000 0.6178 0.1546 1
Er5 Er 0.5000 0.9822 0.7943 1
Er6 Er 0.5000 0.0178 0.2057 1
Er7 Er 0.5000 0.7943 0.9822 1
Er8 Er 0.5000 0.3822 0.8454 1
Er9 Er 0.5000 0.5000 0.5000 1
Tb1 Tb 0.5000 0.5826 0.7496 1
Tb2 Tb 0.5000 0.4174 0.2504 1
Tb3 Tb 0.5000 0.7496 0.5826 1
Tb4 Tb 0.5000 0.2504 0.4174 1
```

Properties
Calculated formation energy: -0.23 eV/atom
Space-group type: Cmmm
Total magnetization: 0.043 μB/atom

***

Record 8
This record from Alexandria via LeMat-Bulk describes a relaxed structure of Ho4Al3Tl. The functional is PBE.

```
data_Ho4Al3Tl
_chemical_formula_sum 'Ho4 Al3 Tl1'
_cell_length_a 3.9571
_cell_length_b 4.4292
_cell_length_c 11.5424
_cell_angle_alpha 90.00
_cell_angle_beta 90.00
_cell_angle_gamma 90.00
_space_group_name_H-M_alt 'P 1'
_space_group_IT_number 1
_space_group_name_Hall 'P 1'
loop_
_atom_site_label
_atom_site_type_symbol
_atom_site_fract_x
_atom_site_fract_y
_atom_site_fract_z
_atom_site_occupancy
Ho1 Ho 0.5000 0.5000 0.3565 1
Ho2 Ho 0.0000 0.5000 0.8431 1
Ho3 Ho 0.5000 0.0000 0.6493 1
Ho4 Ho 0.0000 0.0000 0.1547 1
Al1 Al 0.0000 0.0000 0.4304 1
Al2 Al 0.5000 0.0000 0.9213 1
Al3 Al 0.0000 0.5000 0.5690 1
Tl1 Tl 0.5000 0.5000 0.0756 1
```

Properties
Calculated formation energy: -0.34 eV/atom
Space-group type: Pmm2
Total magnetization: 0.003 μB/atom

***

- total magnetization of number 1 (Li2BeIr)?
  0.000 μB/atom